# 1
# Fe2RhBr (PBE-GGA, optimized geometry)
# * formation energy (no corrections): 0.5783 eV/atom
# * total DFT energy (no corrections): -5.909 eV per atom
# * crystal system: orthorhombic
# * Fermi-level density of states: 3.1 states/eV/f.u.
data_Fe2RhBr
_chemical_formula_sum 'Fe2 Rh1 Br1'
_cell_length_a 3.0546
_cell_length_b 4.3875
_cell_length_c 4.4260
_cell_angle_alpha 90.00
_cell_angle_beta 90.00
_cell_angle_gamma 90.00
_space_group_name_H-M_alt 'P m m m'
_space_group_IT_number 47
loop_
_space_group_symop_operation_xyz
'x,y,z'
'-x,-y,-z'
'-x,-y,z'
'x,y,-z'
'x,-y,-z'
'-x,y,z'
'-x,y,-z'
'x,-y,z'
loop_
_atom_site_label
_atom_site_type_symbol
_atom_site_fract_x
_atom_site_fract_y
_atom_site_fract_z
Fe1 Fe 0.0000 0.0000 0.0000
Fe2 Fe 0.5000 0.5000 0.0000
Rh1 Rh 0.0000 0.5000 0.5000
Br1 Br 0.5000 0.0000 0.5000



# 2
# Fe2RhBr (PBE-GGA, optimized geometry)
# * formation energy (no corrections): 0.3783 eV/atom
# * total DFT energy (no corrections): -6.109 eV per atom
# * crystal system: tetragonal
# * Fermi-level density of states: 3.9 states/eV/f.u.
data_Fe2RhBr
_chemical_formula_sum 'Fe2 Rh1 Br1'
_cell_length_a 3.0371
_cell_length_b 3.0371
_cell_length_c 6.8943
_cell_angle_alpha 90.00
_cell_angle_beta 90.00
_cell_angle_gamma 90.00
_space_group_name_H-M_alt 'P 4/m m m'
_space_group_IT_number 123
_space_group_name_Hall '-P 4 2'
loop_
_atom_site_label
_atom_site_type_symbol
_atom_site_fract_x
_atom_site_fract_y
_atom_site_fract_z
Fe1 Fe 0.0000 0.0000 0.2204
Rh1 Rh 0.5000 0.5000 0.0000
Br1 Br 0.5000 0.5000 0.5000



# 3
# Fe3RhBr9 (PBE-GGA, optimized geometry)
# * formation energy (no corrections): -0.3551 eV/atom
# * total DFT energy (no corrections): -4.032 eV per atom
# * crystal system: monoclinic
# * Fermi-level density of states: 7.4 states/eV/f.u.
data_Fe3RhBr9
_chemical_formula_sum 'Fe12 Rh4 Br36'
_cell_length_a 17.7184
_cell_length_b 9.2318
_cell_length_c 12.8808
_cell_angle_alpha 90.00
_cell_angle_beta 127.69
_cell_angle_gamma 90.00
_space_group_name_H-M_alt 'C 1 c 1'
_space_group_IT_number 9
loop_
_space_group_symop_operation_xyz
'x,y,z'
'x,-y,z+1/2'
'x+1/2,y+1/2,z'
'x+1/2,-y+1/2,z+1/2'
loop_
_atom_site_label
_atom_site_type_symbol
_atom_site_fract_x
_atom_site_fract_y
_atom_site_fract_z
Fe1 Fe 0.0000 0.0447 0.0000
Fe2 Fe 0.1375 0.4261 0.9522
Fe3 Fe 0.3935 0.1181 0.5923
Rh1 Rh 0.2644 0.2218 0.7748
Br1 Br 0.0206 0.2324 0.8840
Br2 Br 0.0612 0.3849 0.2824
Br3 Br 0.1208 0.0580 0.7069
Br4 Br 0.1656 0.4479 0.6344
Br5 Br 0.2608 0.0956 0.5947
Br6 Br 0.2658 0.3110 0.9689
Br7 Br 0.3746 0.3615 0.5074
Br8 Br 0.3809 0.0250 0.9303
Br9 Br 0.4139 0.3601 0.8398



- Which formula does entry 1 have?
  Fe2RhBr